LaAlI3: relaxed, GGA-PBE.

Unit cell a=5.680 b=5.680 c=5.680 alpha=90.00 beta=90.00 gamma=90.00
Element x y z (fractional)
La1 0.000 0.000 0.000
Al1 0.500 0.500 0.500
I1 0.000 0.500 0.500
I2 0.500 0.000 0.500
I3 0.500 0.500 0.000

Its formation energy (no corrections) is -295 meV per atom.